(1)
A geometry-optimized Ce3Al3Zn2 structure. Source: the Alexandria database, functional GGA-PBE.

a = 7.5681 Å, b = 7.5681 Å, c = 3.6702 Å
α = 90.00°, β = 90.00°, γ = 120.00°
Space group P-62m (No. 189)
Asymmetric unit:
Ce 0.0000 0.6067 0.0000 x3
Al 0.0000 0.2227 0.5000 x3
Zn 0.3333 0.6667 0.5000 x2

## Properties
ρ: 5.77 g/cm3
DFT total energy: -4.141 eV per atom
DFT formation energy: -0.193 eV/atom

***

(2)
A geometry-optimized Rb2Np2AgS6 structure. Source: the Alexandria database, functional GGA-PBE.

a = 6.7286 Å, b = 12.1777 Å, c = 8.1140 Å
α = 90.00°, β = 104.53°, γ = 90.00°
Space group C2/m (No. 12)
Asymmetric unit:
Rb 0.0000 0.1543 0.0000 x4
Np 0.0000 0.3360 0.5000 x4
Ag 0.0000 0.0000 0.5000 x2
S 0.2115 0.5000 0.6809 x4
S 0.2365 0.1843 0.6889 x8

## Properties
ρ: 4.88 g/cm3
DFT total energy: -6.149 eV per atom
Formation energy (no corrections): -1.11 eV/atom

***

(3)
A geometry-optimized Sr2FeAs structure. Source: the Alexandria database, functional GGA-PBE.

a = 4.0899 Å, b = 5.1125 Å, c = 5.2693 Å
α = 90.00°, β = 90.00°, γ = 90.00°
Space group Pmmm (No. 47)
Asymmetric unit:
Sr 0.0000 0.0000 0.0000 x1
Sr 0.0000 0.5000 0.5000 x1
Fe 0.5000 0.0000 0.5000 x1
As 0.5000 0.5000 0.0000 x1

## Properties
ρ: 4.61 g/cm3
DFT total energy: -4.178 eV per atom
DFT formation energy: -0.059 eV/atom

***

(4)
A geometry-optimized CeIr3 structure. Source: the Alexandria database, functional GGA-PBE.

a = 4.1041 Å, b = 4.1041 Å, c = 8.1761 Å
α = 90.00°, β = 90.00°, γ = 90.00°
Space group I4/mmm (No. 139)
Asymmetric unit:
Ce 0.0000 0.0000 0.0000 x2
Ir 0.0000 0.0000 0.5000 x2
Ir 0.0000 0.5000 0.2500 x4

## Properties
ρ: 17.29 g/cm3
DFT total energy: -8.447 eV per atom
DFT formation energy: -0.318 eV/atom

***

(5)
A geometry-optimized MgTc4Br structure. Source: the Alexandria database, functional GGA-PBE.

a = 7.4215 Å, b = 7.4215 Å, c = 7.4215 Å
α = 90.00°, β = 90.00°, γ = 90.00°
Space group F-43m (No. 216)
Asymmetric unit:
Mg 0.0000 0.0000 0.0000 x4
Tc 0.1240 0.1240 0.3760 x16
Br 0.2500 0.2500 0.7500 x4

## Properties
ρ: 8.06 g/cm3
DFT total energy: -6.716 eV per atom
Formation energy (no corrections): 0.74 eV/atom

***

(6)
A geometry-optimized VBr3 structure. Source: the Alexandria database, functional GGA-PBE.

a = 7.1558 Å, b = 7.1558 Å, c = 7.1558 Å
α = 90.00°, β = 90.00°, γ = 90.00°
Space group Fm-3m (No. 225)
Asymmetric unit:
V 0.0000 0.0000 0.0000 x4
Br 0.0000 0.0000 0.5000 x4
Br 0.2500 0.2500 0.2500 x8

## Properties
ρ: 5.27 g/cm3
DFT total energy: -3.303 eV per atom
Formation energy (no corrections): 0.23 eV/atom